No. 1
Below is crystalline BaIn2O3 at its relaxed geometry, with properties calculated at the PBE-GGA level.

POSCAR file:
```
BaIn2O3
1.0
6.137 0.000 0.000
0.000 6.876 0.622
0.000 -1.143 6.809
Ba O In
2 6 4
direct
0.750 0.645 0.355 Ba
0.250 0.355 0.645 Ba
0.750 0.113 0.887 O
0.750 0.662 0.723 O
0.250 0.723 0.662 O
0.250 0.338 0.277 O
0.250 0.887 0.113 O
0.750 0.277 0.338 O
0.500 0.849 0.849 In
0.000 0.849 0.849 In
0.500 0.151 0.151 In
0.000 0.151 0.151 In
```

Calculated values
- uncorrected energy (eV per cell) = -58.5
- raw formation energy (eV/atom) = -1.161
- crystal system = orthorhombic
- magnetization (μB/f.u.) = 0.0

No. 2
Below is crystalline PmCd2Rh at its relaxed geometry, with properties calculated at the PBE-GGA level.

POSCAR file:
```
PmCd2Rh
1.0
3.120 0.000 0.000
1.560 2.702 0.000
1.560 0.901 10.778
Rh Cd Pm
1 2 1
direct
0.500 0.500 0.500 Rh
0.900 0.900 0.299 Cd
0.100 0.100 0.701 Cd
0.000 0.000 0.000 Pm
```

Calculated values
- excess energy over the best structure of this formula in the dataset (meV per atom) = 676
- uncorrected energy (eV per cell) = -13.1
- crystal system = trigonal
- magnetization (μB/f.u.) = 0.0
- DFT formation energy (eV/atom) = 0.22

No. 3
Below is crystalline CaVTe2 at its relaxed geometry, with properties calculated at the PBE-GGA level.

POSCAR file:
```
CaVTe2
1.0
0.176 -3.535 3.873
-3.538 0.171 3.871
-3.699 -3.706 0.339
V Te Ca
1 2 1
direct
0.500 0.500 0.500 V
0.250 0.250 0.250 Te
0.750 0.750 0.750 Te
0.000 0.000 0.000 Ca
```

Calculated values
- excess energy over the best structure of this formula in the dataset (meV per atom) = 126
- uncorrected energy (eV per cell) = -19.2
- raw formation energy (eV/atom) = -0.453
- crystal system = cubic
- magnetization (μB/f.u.) = 3.0

No. 4
Below is crystalline Pm2ZnRe at its relaxed geometry, with properties calculated at the PBE-GGA level.

POSCAR file:
```
Pm2ZnRe
1.0
3.117 0.000 0.000
1.559 2.699 0.000
1.559 0.900 10.941
Pm Re Zn
2 1 1
direct
0.086 0.086 0.742 Pm
0.914 0.914 0.258 Pm
0.000 0.000 0.000 Re
0.500 0.500 0.500 Zn
```

Calculated values
- uncorrected energy (eV per cell) = -20.1
- crystal system = trigonal
- magnetization (μB/f.u.) = 0.0
- DFT formation energy (eV/atom) = 0.79